# 1
Bi3Pb13: relaxed, PBE.

Unit cell a=10.3719 b=7.0120 c=7.0120 alpha=87.65 beta=90.00 gamma=90.00
Fractional coordinates of all 16 atoms:
Bi1 0.0000 0.0000 0.0000
Bi2 0.2561 0.3083 0.3083
Bi3 0.7439 0.3083 0.3083
Pb1 0.0000 0.0434 0.5022
Pb2 0.0000 0.5022 0.0434
Pb3 0.0000 0.5337 0.5337
Pb4 0.2496 0.2863 0.8072
Pb5 0.2500 0.7891 0.7891
Pb6 0.2496 0.8072 0.2863
Pb7 0.5000 0.0313 0.5293
Pb8 0.5000 0.0327 0.0327
Pb9 0.5000 0.5293 0.0313
Pb10 0.5000 0.5289 0.5289
Pb11 0.7504 0.2863 0.8072
Pb12 0.7500 0.7891 0.7891
Pb13 0.7504 0.8072 0.2863



# 2
Bi5Pb: relaxed, PBE.

Unit cell a=8.8037 b=8.8037 c=4.0851 alpha=90.00 beta=90.00 gamma=142.90
Fractional coordinates of all 6 atoms:
Bi1 0.0000 0.0000 0.0000
Bi2 0.1595 0.8405 0.5000
Bi3 0.3237 0.6763 0.0000
Bi4 0.6763 0.3237 0.0000
Bi5 0.8405 0.1595 0.5000
Pb1 0.5000 0.5000 0.5000



# 3
BiPb: relaxed, PBE.

Unit cell a=8.8367 b=8.8367 c=8.8367 alpha=90.00 beta=90.00 gamma=90.00
Fractional coordinates of all 12 atoms:
Bi1 0.0000 0.2500 0.5000
Bi2 0.0000 0.7500 0.5000
Bi3 0.2500 0.5000 0.0000
Bi4 0.5000 0.0000 0.2500
Bi5 0.5000 0.0000 0.7500
Bi6 0.7500 0.5000 0.0000
Pb1 0.0000 0.5000 0.2500
Pb2 0.0000 0.5000 0.7500
Pb3 0.2500 0.0000 0.5000
Pb4 0.5000 0.2500 0.0000
Pb5 0.5000 0.7500 0.0000
Pb6 0.7500 0.0000 0.5000



Density of states at the Fermi level readings, ordered: 8.69 3.63 10.84 states/eV/cell
E_form readings, ordered: 2 10 28 kJ per mole of atoms
Magnetic moment readings, ordered: 0.00 0.00 0.00 μB/cell